Run w
PuPaCu2 | GGA-PBE | relaxed

extended XYZ file:
```
4
Lattice="3.105 0.000 0.000 1.553 2.689 0.000 1.553 0.896 9.574" Properties=species:S:1:pos:R:3 pbc="T T T"
Pu 3.105 1.793 4.787
Pa 0.000 0.000 0.000
Cu 1.553 0.896 2.392
Cu 4.658 2.689 7.182
```

total magnetic moment = 5.43 Bohr magnetons per cell



Run x
PuPaCu2 | GGA-PBE | relaxed

extended XYZ file:
```
4
Lattice="5.158 -0.413 -0.187 -1.449 4.968 -0.187 0.122 0.150 3.028" Properties=species:S:1:pos:R:3 pbc="T T T"
Pu -0.664 2.559 1.421
Cu 1.855 2.277 -0.187
Cu 0.000 0.000 0.000
Pa 2.640 -0.132 1.421
```

total magnetic moment = 5.35 Bohr magnetons per cell



Which one is most stable, and which one is least stable? run x is the most stable of them, while run w is the least stable.



Run w
PuPaCuTc | GGA-PBE | relaxed

extended XYZ file:
```
4
Lattice="-1.103 -1.558 -4.248 -2.436 -3.941 -0.475 -4.419 0.156 -1.462" Properties=species:S:1:pos:R:3 pbc="T T T"
Tc -3.979 -2.672 -3.092
Cu -1.990 -1.336 -1.546
Pu 0.000 0.000 0.000
Pa -5.969 -4.007 -4.638
```

total magnetic moment = 4.35 Bohr magnetons per cell



Run x
PuPaCuTc | GGA-PBE | relaxed

extended XYZ file:
```
4
Lattice="4.837 0.000 0.000 2.418 4.189 0.000 2.418 1.396 3.949" Properties=species:S:1:pos:R:3 pbc="T T T"
Tc 7.255 4.189 2.962
Pu 0.000 0.000 0.000
Cu 2.418 1.396 0.987
Pa 4.837 2.792 1.975
```

total magnetic moment = 5.70 Bohr magnetons per cell



Which one is most stable, and which one is least stable? run w is the most stable of them, while run x is the least stable.